No. 1
## Pm7Mg4Sc (PBE-GGA)

Data for crystalline Pm7Mg4Sc at its relaxed geometry. Values from VASP.

Structure (Quantum ESPRESSO input):
```
&SYSTEM
  ibrav = 0, nat = 12, ntyp = 3
/
ATOMIC_SPECIES
Pm 145.00 Pm.upf
Mg 24.30 Mg.upf
Sc 44.96 Sc.upf
CELL_PARAMETERS angstrom
-1.3261 -0.2239 -5.5876
6.4702 -4.9783 -4.2918
-2.6598 -7.4697 -2.0251
ATOMIC_POSITIONS angstrom
Pm 3.2583 -8.3587 -9.3054
Pm 2.8825 -4.8081 -3.4471
Pm 2.2461 -9.5164 -6.0631
Pm 0.2382 -3.1555 -5.8415
Pm -0.6631 -0.1119 -2.7938
Pm -0.3981 -7.8638 -8.4575
Pm -0.7740 -4.3132 -2.5992
Mg 2.8381 -6.4546 -6.3263
Mg -0.8382 -9.2636 -5.3413
Mg 3.3226 -3.4083 -6.5633
Mg -0.3537 -6.2173 -5.5783
Sc 0.0000 0.0000 0.0000
```

As for the density of states at the Fermi level: 13.841 states/eV/f.u. The calculation puts the total energy at -44.40 eV/f.u. Its space-group type is C2/m.

***

No. 2
## TaZn2Pt8 (PBE-GGA)

Data for crystalline TaZn2Pt8 at its relaxed geometry. Values from VASP.

Structure (Quantum ESPRESSO input):
```
&SYSTEM
  ibrav = 0, nat = 11, ntyp = 3
/
ATOMIC_SPECIES
Pt 195.08 Pt.upf
Zn 65.41 Zn.upf
Ta 180.95 Ta.upf
CELL_PARAMETERS angstrom
3.8467 0.0000 -1.1058
-0.6261 5.8796 -2.1779
0.0304 0.4725 7.3493
ATOMIC_POSITIONS angstrom
Pt 2.8317 5.1368 2.6070
Pt 1.1951 0.7402 4.1573
Pt 2.0559 5.6119 -0.0916
Pt 0.4193 1.2153 1.4587
Pt 1.2343 3.6031 4.2937
Pt -0.2750 4.3119 -0.9566
Pt 3.5260 2.0401 5.0223
Pt 2.0167 2.7490 -0.2281
Zn 0.4706 3.9580 1.6369
Zn 2.7804 2.3940 2.4287
Ta 1.9234 0.0000 -0.5529
```

As for the density of states at the Fermi level: 9.039 states/eV/f.u. The calculation puts the total energy at -67.95 eV/f.u. Its space-group type is C2/m.

***

No. 3
## GdTmBe (PBE-GGA)

Data for crystalline GdTmBe at its relaxed geometry. Values from VASP.

Structure (Quantum ESPRESSO input):
```
&SYSTEM
  ibrav = 0, nat = 3, ntyp = 3
/
ATOMIC_SPECIES
Be 9.01 Be.upf
Gd 157.25 Gd.upf
Tm 168.93 Tm.upf
CELL_PARAMETERS angstrom
-0.4400 3.3931 -0.4119
0.2244 -0.3857 -3.4172
-5.8209 -2.3088 1.6161
ATOMIC_POSITIONS angstrom
Be -2.1389 1.2279 -2.0168
Gd -0.3395 -0.0461 -0.0171
Tm -3.5582 -0.4831 -0.1791
```

As for the density of states at the Fermi level: 3.815 states/eV/f.u. The calculation puts the total energy at -22.02 eV/f.u. Its space-group type is I4mm.

***

No. 4
## Sm2CuTe (PBE-GGA)

Data for crystalline Sm2CuTe at its relaxed geometry. Values from VASP.

Structure (Quantum ESPRESSO input):
```
&SYSTEM
  ibrav = 0, nat = 8, ntyp = 3
/
ATOMIC_SPECIES
Sm 150.36 Sm.upf
Te 127.60 Te.upf
Cu 63.55 Cu.upf
CELL_PARAMETERS angstrom
4.5315 0.0000 0.0000
0.0000 4.0784 -0.7244
0.0000 -0.0103 11.7854
ATOMIC_POSITIONS angstrom
Sm 3.3986 3.8300 9.7209
Sm 1.1329 0.2380 1.3401
Sm 1.1329 1.3577 7.6441
Sm 3.3986 2.7104 3.4169
Te 1.1329 0.7907 4.4519
Te 3.3986 3.2774 6.6091
Cu 1.1329 1.8963 10.6770
Cu 3.3986 2.1717 0.3840
```

As for the density of states at the Fermi level: 2.786 states/eV/f.u. The calculation puts the total energy at -19.70 eV/f.u. Its space-group type is Cmcm. The energy above the most stable polymorph in this dataset is 0.000 eV/atom. The value obtained for the uncorrected formation energy is -755 meV/atom.

***

No. 5
## Mn5TcW (PBE-GGA)

Data for crystalline Mn5TcW at its relaxed geometry. Values from VASP.

Structure (Quantum ESPRESSO input):
```
&SYSTEM
  ibrav = 0, nat = 28, ntyp = 3
/
ATOMIC_SPECIES
Mn 54.94 Mn.upf
W 183.84 W.upf
Tc 98.00 Tc.upf
CELL_PARAMETERS angstrom
4.5985 0.0000 0.0000
0.0000 7.7198 0.0000
0.0000 0.0000 9.8215
ATOMIC_POSITIONS angstrom
Mn 4.5626 7.1628 3.0551
Mn 2.2633 0.5570 6.7665
Mn 0.0360 4.4169 7.9658
Mn 3.4489 2.3727 7.3784
Mn 3.4489 6.2326 7.3539
Mn 1.1496 0.7041 4.6855
Mn 3.4489 0.3892 9.0090
Mn 0.0360 0.5570 6.7665
Mn 1.1496 4.5640 0.2252
Mn 1.1496 3.4707 4.0982
Mn 4.5626 3.3029 1.8557
Mn 1.1496 7.3306 0.8126
Mn 3.4489 7.0157 5.1360
Mn 3.4489 3.1558 9.5963
Mn 1.1496 5.3470 2.4432
Mn 2.3352 7.1628 3.0551
Mn 2.3352 3.3029 1.8557
Mn 1.1496 1.4871 2.4676
Mn 2.2633 4.4169 7.9658
Mn 3.4489 4.2491 5.7233
W 3.4489 1.9571 4.2814
W 1.1496 5.7627 5.5401
W 3.4489 5.8169 0.6294
W 1.1496 1.9028 9.1922
Tc 3.4489 4.9038 3.4375
Tc 1.1496 6.6759 8.3483
Tc 3.4489 1.0439 1.4733
Tc 1.1496 2.8160 6.3840
```

As for the density of states at the Fermi level: 6.540 states/eV/f.u. The calculation puts the total energy at -68.68 eV/f.u. Its space-group type is Pnma.

***

No. 6
## CePrVN4 (PBE-GGA)

Data for crystalline CePrVN4 at its relaxed geometry. Values from VASP.

Structure (Quantum ESPRESSO input):
```
&SYSTEM
  ibrav = 0, nat = 14, ntyp = 4
/
ATOMIC_SPECIES
N 14.01 N.upf
Pr 140.91 Pr.upf
V 50.94 V.upf
Ce 140.12 Ce.upf
CELL_PARAMETERS angstrom
-4.0509 3.2119 -1.5365
0.8887 -1.3496 -5.1644
-2.0341 -6.4540 1.3365
ATOMIC_POSITIONS angstrom
N -3.0425 -1.6210 -0.1000
N -2.5064 0.4289 -1.9609
N -2.6898 -5.0205 -3.4035
N 0.1524 -1.6263 -3.8014
N -0.5727 -3.9018 -1.9140
N -1.0170 -3.2270 0.6683
N -2.5981 -2.2958 -2.6822
N -5.3486 -2.9654 -1.5630
Pr -2.9447 -4.1194 -0.8478
Pr -2.2515 -0.4722 -4.5166
V -1.5284 -3.6335 -3.5661
V -3.6678 -0.9581 -1.7983
Ce -0.6346 -1.3606 -1.1712
Ce -4.5616 -3.2310 -4.1932
```

As for the density of states at the Fermi level: 1.199 states/eV/f.u. The calculation puts the total energy at -61.58 eV/f.u. Its space-group type is Cmcm. The value obtained for the uncorrected formation energy is -1206 meV/atom.